[1]
Density functional theory data (meta-GGA SCAN) for a crystal of Fe2As relaxed with PBEsol.

Output
Its total energy is -18.866 eV per atom. Its formation enthalpy at 0 K is -0.049 eV/atom.

Unit cell a=3.510 b=5.967 c=5.967 alpha=120.00 beta=90.00 gamma=90.00
Atoms (fractional coordinates):
As (0.000, 0.667, 0.333)
As (0.000, 0.333, 0.667)
As (0.500, 0.000, 0.000)
Fe (0.000, 0.746, 0.746)
Fe (0.000, 0.000, 0.254)
Fe (0.000, 0.254, 0.000)
Fe (0.500, 0.411, 0.411)
Fe (0.500, 0.000, 0.589)
Fe (0.500, 0.589, 0.000)

[2]
Density functional theory data (meta-GGA SCAN) for a crystal of Fe12As5 relaxed with PBEsol.

Output
Its total energy is -18.824 eV per atom. Its formation enthalpy at 0 K is -0.088 eV/atom.

Unit cell a=6.531 b=6.531 c=6.531 alpha=60.99 beta=60.99 gamma=60.99
Atoms (fractional coordinates):
As (0.144, 0.144, 0.144)
As (0.856, 0.856, 0.856)
As (0.000, 0.653, 0.347)
As (0.347, 0.000, 0.653)
As (0.653, 0.347, 0.000)
Fe (0.382, 0.382, 0.382)
Fe (0.618, 0.618, 0.618)
Fe (0.000, 0.000, 0.000)
Fe (0.996, 0.483, 0.776)
Fe (0.776, 0.996, 0.483)
Fe (0.483, 0.776, 0.996)
Fe (0.517, 0.004, 0.224)
Fe (0.224, 0.517, 0.004)
Fe (0.004, 0.224, 0.517)
Fe (0.738, 0.500, 0.262)
Fe (0.262, 0.738, 0.500)
Fe (0.500, 0.262, 0.738)

[3]
Density functional theory data (meta-GGA SCAN) for a crystal of FeAs2 relaxed with PBEsol.

Output
Its total energy is -19.755 eV per atom. Its formation enthalpy at 0 K is -0.251 eV/atom.

Unit cell a=2.841 b=5.247 c=5.905 alpha=90.00 beta=90.00 gamma=90.00
Atoms (fractional coordinates):
As (0.000, 0.180, 0.360)
As (0.000, 0.820, 0.640)
As (0.500, 0.680, 0.140)
As (0.500, 0.320, 0.860)
Fe (0.000, 0.000, 0.000)
Fe (0.500, 0.500, 0.500)

[4]
Density functional theory data (meta-GGA SCAN) for a crystal of FeAs2 relaxed with PBEsol.

Output
Its total energy is -19.468 eV per atom. Its formation enthalpy at 0 K is 0.036 eV/atom.

Unit cell a=2.835 b=2.835 c=6.086 alpha=103.47 beta=103.47 gamma=90.00
Atoms (fractional coordinates):
As (0.872, 0.872, 0.745)
As (0.128, 0.128, 0.255)
Fe (0.500, 0.500, 0.000)

[5]
Density functional theory data (meta-GGA SCAN) for a crystal of FeAs2 relaxed with PBEsol.

Output
Its total energy is -19.475 eV per atom. Its formation enthalpy at 0 K is 0.029 eV/atom.

Unit cell a=3.999 b=3.999 c=3.999 alpha=60.00 beta=60.00 gamma=60.00
Atoms (fractional coordinates):
As (0.750, 0.750, 0.750)
As (0.250, 0.250, 0.250)
Fe (0.000, 0.000, 0.000)

[6]
Density functional theory data (meta-GGA SCAN) for a crystal of Fe3As relaxed with PBEsol.

Output
Its total energy is -18.718 eV per atom. Its formation enthalpy at 0 K is -0.073 eV/atom.

Unit cell a=3.978 b=3.978 c=3.978 alpha=60.00 beta=60.00 gamma=60.00
Atoms (fractional coordinates):
As (0.000, 0.000, 0.000)
Fe (0.250, 0.250, 0.250)
Fe (0.500, 0.500, 0.500)
Fe (0.750, 0.750, 0.750)